# 1
Compound: ErTeAuO
Source: OQMD via LeMat-Bulk
Functional: PBE
Structure: optimized geometry Values from VASP.

Cell and atoms, written as Quantum ESPRESSO input:
```
&SYSTEM
  ibrav = 0, nat = 8, ntyp = 4
/
ATOMIC_SPECIES
Au 196.97 Au.upf
Er 167.26 Er.upf
Te 127.60 Te.upf
O 16.00 O.upf
ATOMIC_POSITIONS angstrom
Au -5.1700 -2.8321 0.7199
Au -5.1700 -2.8321 -2.1158
Er -9.2894 -4.2481 0.7252
Er -1.0505 -1.4161 0.7252
Te -7.4868 -1.4160 0.7200
Te -2.8531 -4.2481 0.7200
O 0.0000 -2.8321 -0.6923
O 0.0000 -2.8321 2.1434
CELL_PARAMETERS angstrom
0.0000 -2.8321 -2.8357
0.0000 -2.8321 2.8357
-10.3399 0.0000 0.0000
```

As for the polymorph energy (0 for the lowest one): 0 meV per atom.

=====

# 2
Compound: TmAsPd
Source: OQMD via LeMat-Bulk
Functional: PBE
Structure: optimized geometry Values from VASP.

Cell and atoms, written as Quantum ESPRESSO input:
```
&SYSTEM
  ibrav = 0, nat = 12, ntyp = 3
/
ATOMIC_SPECIES
Pd 106.42 Pd.upf
Tm 168.93 Tm.upf
As 74.92 As.upf
ATOMIC_POSITIONS angstrom
Pd 4.4733 1.0226 0.4886
Pd 0.9898 1.0226 3.4713
Pd 2.4938 3.0677 7.4311
Pd 5.9773 3.0677 4.4485
Tm 0.2261 1.0226 6.4241
Tm 3.2574 3.0677 2.4642
Tm 6.7409 3.0677 1.4957
Tm 3.7097 1.0226 5.4556
As 5.2044 1.0226 2.9891
As 5.2463 3.0677 6.9490
As 1.7208 1.0226 0.9708
As 1.7627 3.0677 4.9307
CELL_PARAMETERS angstrom
6.9671 0.0000 0.0000
0.0000 4.0902 0.0000
0.0000 0.0000 7.9198
```

The total DFT energy (no corrections) is -71.4 eV per cell.

=====

# 3
Compound: ScNiAsPd
Source: OQMD via LeMat-Bulk
Functional: PBE
Structure: optimized geometry Values from VASP.

Cell and atoms, written as Quantum ESPRESSO input:
```
&SYSTEM
  ibrav = 0, nat = 4, ntyp = 4
/
ATOMIC_SPECIES
Pd 106.42 Pd.upf
As 74.92 As.upf
Sc 44.96 Sc.upf
Ni 58.69 Ni.upf
ATOMIC_POSITIONS angstrom
Pd 3.5019 -2.7389 3.1806
As 0.0000 0.0000 0.0000
Sc 1.7510 -1.3694 1.5903
Ni 5.2529 -4.1083 4.7709
CELL_PARAMETERS angstrom
4.2936 -0.4851 1.1181
1.1144 -0.9531 4.2155
1.5958 -4.0396 1.0276
```

As for the polymorph energy (0 for the lowest one): 46 meV per atom.

=====

# 4
Compound: HoBe12
Source: OQMD via LeMat-Bulk
Functional: PBE
Structure: optimized geometry Values from VASP.

Cell and atoms, written as Quantum ESPRESSO input:
```
&SYSTEM
  ibrav = 0, nat = 13, ntyp = 2
/
ATOMIC_SPECIES
Ho 164.93 Ho.upf
Be 9.01 Be.upf
ATOMIC_POSITIONS angstrom
Ho 0.0000 0.0000 0.0000
Be -1.9900 0.7768 1.9764
Be -0.5548 -0.9945 2.4985
Be -0.9963 -1.7859 4.4869
Be 1.2145 -2.1670 1.5163
Be 2.1756 1.3636 1.0258
Be 1.6742 -0.2994 2.3617
Be 1.1727 -1.9624 3.6976
Be 4.7072 -1.3826 0.4949
Be 2.6212 -0.7699 0.2756
Be 0.0965 1.2165 2.4811
Be 2.4497 1.0907 -1.1310
Be 3.2519 -1.8154 2.2423
CELL_PARAMETERS angstrom
4.8994 2.1815 -2.2621
-3.9801 1.5536 3.9529
2.4290 -4.3340 3.0326
```

The total DFT energy (no corrections) is -50.5 eV per cell.